No. 1
The following is a PBEsol calculation of a relaxed structure of Mn2PbCl, from the Alexandria database.

abc: 8.875 3.058 5.610
angles: 90.00 98.26 90.00
Space group Cm (No. 8)
Symmetry-distinct sites (fractional):
Mn1 0.000 0.000 0.000 x2
Mn2 0.227 0.500 0.251 x2
Pb1 0.244 0.000 0.760 x2
Cl1 0.462 0.000 0.328 x2

Calculated values
DOS(E_F)   2.54 states/eV/f.u.
Magnetic moment   14.139 μB per cell
Energy relative to the lowest polymorph listed for this composition   0.00 eV/f.u.

No. 2
The following is a PBEsol calculation of a relaxed structure of Mn2PbCl, from the Alexandria database.

abc: 3.273 5.579 8.352
angles: 90.00 90.00 90.00
Space group Cmmm (No. 65)
Symmetry-distinct sites (fractional):
Mn1 0.000 0.000 0.227 x4
Pb1 0.000 0.500 0.500 x2
Cl1 0.000 0.500 0.000 x2

Calculated values
DOS(E_F)   2.52 states/eV/f.u.
Magnetic moment   15.561 μB per cell
Energy relative to the lowest polymorph listed for this composition   0.07 eV/f.u.

No. 3
The following is a PBEsol calculation of a relaxed structure of MnPbCl2, from the Alexandria database.

abc: 10.796 3.373 5.446
angles: 90.00 114.91 90.00
Space group Cm (No. 8)
Symmetry-distinct sites (fractional):
Mn1 0.000 0.000 0.000 x2
Pb1 0.276 0.000 0.551 x2
Cl1 0.136 0.500 0.910 x2
Cl2 0.438 0.000 0.254 x2

Calculated values
DOS(E_F)   1.13 states/eV/f.u.
Magnetic moment   8.159 μB per cell
Energy relative to the lowest polymorph listed for this composition   0.00 eV/f.u.

No. 4
The following is a PBEsol calculation of a relaxed structure of MnPbCl2, from the Alexandria database.

abc: 3.6197 3.6197 24.6814
angles: 90.00 90.00 120.00
Space group R3m (No. 160, hexagonal axes)
Symmetry-distinct sites (fractional):
Mn1 0.0000 0.0000 0.0000 x3
Pb1 0.0000 0.0000 0.2508 x3
Cl1 0.0000 0.0000 0.5041 x3
Cl2 0.0000 0.0000 0.7161 x3

Calculated values
DOS(E_F)   2.07 states/eV/f.u.
Magnetic moment   13.087 μB per cell
Energy relative to the lowest polymorph listed for this composition   0.37 eV/f.u.